DFT (PBE) results for a relaxed structure of Sr2YCl.

Summary:
For the density of states at the Fermi level, the calculation gives 5.74 states/eV/cell. For the energy, the calculation gives -3.385 eV/atom.

Structure (POSCAR):
```
Sr2YCl
1.0
-1.9163 3.6047 5.8145
1.9163 -3.6047 5.8145
1.9163 3.6047 -5.8145
Sr Y Cl
2 1 1
direct
0.1986 0.1986 0.0000
0.8014 0.8014 0.0000
0.5000 0.0000 0.5000
0.0000 0.5000 0.5000
```



DFT (PBE) results for a relaxed structure of Ba2Ga2BiAu6.

Summary:
For the density of states at the Fermi level, the calculation gives 5.87 states/eV/cell. The calculation puts the formation enthalpy at 0 K at -0.4052 eV per atom.

Structure (POSCAR):
```
Ba2Ga2BiAu6
1.0
3.4935 2.0170 7.1086
-3.4935 2.0170 7.1086
0.0000 -4.0339 7.1086
Ba Ga Bi Au
2 2 1 6
direct
0.2351 0.2351 0.2351
0.7649 0.7649 0.7649
0.0728 0.0728 0.0728
0.9272 0.9272 0.9272
0.5000 0.5000 0.5000
0.2408 0.2408 0.6452
0.2408 0.6452 0.2408
0.3548 0.7592 0.7592
0.6452 0.2408 0.2408
0.7592 0.3548 0.7592
0.7592 0.7592 0.3548
```



DFT (PBE) results for a relaxed structure of ScUCo.

Summary:
For the density of states at the Fermi level, the calculation gives 17.22 states/eV/cell. The calculation puts the formation enthalpy at 0 K at 0.0100 eV per atom.

Structure (POSCAR):
```
ScUCo
1.0
8.8124 0.0000 0.0000
0.0000 2.7956 4.4988
0.0000 -2.7956 4.4988
Sc U Co
4 4 4
direct
0.1777 0.0000 0.0000
0.2778 0.3354 0.3354
0.7222 0.3354 0.3354
0.8223 0.0000 0.0000
0.0000 0.5538 0.5538
0.5000 0.3080 0.8650
0.5000 0.8240 0.8240
0.5000 0.8650 0.3080
0.0000 0.0647 0.5480
0.0000 0.5480 0.0647
0.2295 0.6672 0.6672
0.7705 0.6672 0.6672
```



DFT (PBE) results for a relaxed structure of InReHg2.

Summary:
For the density of states at the Fermi level, the calculation gives 3.63 states/eV/cell. The calculation puts the formation enthalpy at 0 K at 0.7512 eV per atom.

Structure (POSCAR):
```
InReHg2
1.0
2.9736 0.0000 0.0000
0.0000 2.9736 0.0000
0.0000 0.0000 9.5782
In Re Hg
1 1 2
direct
0.0000 0.0000 0.0000
0.0000 0.0000 0.5000
0.5000 0.5000 0.2833
0.5000 0.5000 0.7167
```



Repeat the fourth record exactly.
DFT (PBE) results for a relaxed structure of InReHg2.

Summary:
For the density of states at the Fermi level, the calculation gives 3.63 states/eV/cell. The calculation puts the formation enthalpy at 0 K at 0.7512 eV per atom.

Structure (POSCAR):
```
InReHg2
1.0
2.9736 0.0000 0.0000
0.0000 2.9736 0.0000
0.0000 0.0000 9.5782
In Re Hg
1 1 2
direct
0.0000 0.0000 0.0000
0.0000 0.0000 0.5000
0.5000 0.5000 0.2833
0.5000 0.5000 0.7167
```



- Number 3 is which compound?
  ScUCo